A relaxed structure of BeCuBi2, computed with PBE.

Cell and atoms, written as POSCAR:
```
BeCuBi2
1.0
-0.796 3.565 3.496
1.371 4.782 -0.907
-3.529 3.541 -0.758
Bi Cu Be
2 1 1
Cartesian
-1.477 5.944 0.915
-2.216 8.916 1.373
0.000 0.000 0.000
-0.739 2.972 0.458
```

Results
- Electronic total energy: -3.1112 eV per atom
- Symmetry: F-43m (216)